[1]
The following is a DFT calculation (PBE) of Ho5NiRh4 after structural relaxation.

## Properties
Volume (A^3/atom): 19.74
Total magnetization (μB/atom): 0.00
Fermi-level density of states (states/eV per cell): 5.197
Energy relative to the elements (eV/atom): -0.804

abc: 3.378 3.378 17.304
angles: 90.00 90.00 90.00
Space group P4/mmm (No. 123)
Unique sites:
Ho  0.000  0.000  0.000 (multiplicity 1)
Ho  0.000  0.000  0.201 (multiplicity 2)
Ho  0.000  0.000  0.401 (multiplicity 2)
Ni  0.500  0.500  0.500 (multiplicity 1)
Rh  0.500  0.500  0.101 (multiplicity 2)
Rh  0.500  0.500  0.302 (multiplicity 2)



[2]
The following is a DFT calculation (PBE) of Pd2Rh3Pb8 after structural relaxation.

## Properties
Volume (A^3/atom): 23.88
Total magnetization (μB/atom): 0.00
Fermi-level density of states (states/eV per cell): 6.752
Energy relative to the elements (eV/atom): -0.073

abc: 8.346 4.725 8.376
angles: 90.00 110.01 90.00
Space group P2/m (No. 10)
Unique sites:
Pd  0.249  0.000  0.249 (multiplicity 2)
Rh  0.268  0.500  0.767 (multiplicity 2)
Rh  0.500  0.000  0.000 (multiplicity 1)
Pb  0.119  0.500  0.382 (multiplicity 2)
Pb  0.123  0.000  0.868 (multiplicity 2)
Pb  0.370  0.000  0.622 (multiplicity 2)
Pb  0.371  0.500  0.128 (multiplicity 2)



[3]
The following is a DFT calculation (PBE) of Sr3Tb3PuTe8 after structural relaxation.

## Properties
Volume (A^3/atom): 35.15
Total magnetization (μB/atom): 0.39
Fermi-level density of states (states/eV per cell): 63.092
Uncorrected formation energy (eV/atom): -1.459

abc: 8.9417 8.9417 22.8436
angles: 90.00 90.00 120.00
Space group R-3m (No. 166, hexagonal axes)
Unique sites:
Sr  0.0000  0.5000  0.0000 (multiplicity 9)
Tb  0.0000  0.5000  0.5000 (multiplicity 9)
Pu  0.0000  0.0000  0.5000 (multiplicity 3)
Te  0.0000  0.0000  0.2439 (multiplicity 6)
Te  0.0099  0.5050  0.7551 (multiplicity 18)